Entry 1:
Material: Pm2DyOs
Method: DFT, PBE-GGA
State: relaxed

abc: 3.4574 3.4574 9.5739
angles: 90.00 90.00 90.00
Closest atoms and distances in Å follow each position.
Positions (direct):
Pm 0.0000 0.0000 0.1803  4 Os 2.99
Pm 0.0000 0.0000 0.8197  4 Os 2.99
Dy 0.5000 0.5000 0.5000  4 Dy 3.46
Os 0.5000 0.5000 0.0000  8 Pm 2.99

As for the energy above the lowest structure with this stoichiometry: 217.5 meV/atom. As for the formation energy: 50.8 meV per atom.

Entry 2:
Material: LaMnCdGa2
Method: DFT, PBE-GGA
State: relaxed

abc: 4.7057 4.7057 4.9975
angles: 90.00 90.00 90.00
Closest atoms and distances in Å follow each position.
Positions (direct):
La 0.0000 0.0000 0.0000  4 Cd 3.33, 8 Ga 3.43
Mn 0.5000 0.5000 0.5000  4 Ga 2.35, 2 Cd 2.50
Cd 0.5000 0.5000 0.0000  2 Mn 2.50
Ga 0.0000 0.5000 0.5000  2 Mn 2.35
Ga 0.5000 0.0000 0.5000  2 Mn 2.35

As for the formation energy: -201.9 meV per atom.